[1]
## PrHgBi4 (PBE)

Data for crystalline PrHgBi4 at its relaxed geometry.

## Properties
Its raw total energy is -3.55 eV/atom.

a = 9.269 Å, b = 9.269 Å, c = 9.269 Å
α = 90.00°, β = 90.00°, γ = 90.00°
Space group F-43m (No. 216)
Symmetry-distinct sites (fractional):
Pr 0.000 0.000 0.000 (multiplicity 4)
Hg 0.250 0.250 0.250 (multiplicity 4)
Bi 0.124 0.124 0.624 (multiplicity 16)



[2]
## PrHgBi2 (PBE)

Data for crystalline PrHgBi2 at its relaxed geometry.

## Properties
Its raw total energy is -3.31 eV/atom.

a = 4.6624 Å, b = 4.6624 Å, c = 27.9688 Å
α = 90.00°, β = 90.00°, γ = 120.00°
Space group R-3m (No. 166, hexagonal axes)
Symmetry-distinct sites (fractional):
Pr 0.0000 0.0000 0.0000 (multiplicity 3)
Hg 0.0000 0.0000 0.5000 (multiplicity 3)
Bi 0.0000 0.0000 0.3992 (multiplicity 6)



[3]
## PrHg2Bi (PBE)

Data for crystalline PrHg2Bi at its relaxed geometry.

## Properties
Its raw total energy is -2.79 eV/atom.

a = 4.663 Å, b = 4.663 Å, c = 5.112 Å
α = 90.00°, β = 90.00°, γ = 90.00°
Space group P4/mmm (No. 123)
Symmetry-distinct sites (fractional):
Pr 0.000 0.000 0.000 (multiplicity 1)
Hg 0.000 0.500 0.500 (multiplicity 2)
Bi 0.500 0.500 0.000 (multiplicity 1)



[4]
## Pr3Hg2Bi (PBE)

Data for crystalline Pr3Hg2Bi at its relaxed geometry.

## Properties
Its raw total energy is -3.72 eV/atom.

a = 5.359 Å, b = 16.323 Å, c = 4.102 Å
α = 90.00°, β = 90.00°, γ = 90.00°
Space group Cmmm (No. 65)
Symmetry-distinct sites (fractional):
Pr 0.000 0.000 0.000 (multiplicity 2)
Pr 0.000 0.334 0.000 (multiplicity 4)
Hg 0.000 0.178 0.500 (multiplicity 4)
Bi 0.000 0.500 0.500 (multiplicity 2)